Below is an optimized crystal structure of SmBeCl, with properties calculated at the PBE level.

The space group is Cmcm (No. 63) and the conventional cell measures 3.621, 17.071 and 3.966 Å, with angles of 90.00, 90.00 and 90.00 degrees. The inequivalent atoms are Sm at (0.000, 0.108, 0.250), Be at (0.000, 0.484, 0.250) and Cl at (0.000, 0.313, 0.250).

The calculated volume is 20.43 A^3/atom. The density of states at the Fermi level comes out at 5.918 states/eV per cell. As for the raw formation energy: -0.857 eV/atom.



Below is an optimized crystal structure of BeSn2Cl6, with properties calculated at the PBE level.

The space group is C2/c (No. 15) and the conventional cell measures 15.185, 9.127 and 10.715 Å, with angles of 90.00, 128.47 and 90.00 degrees. The inequivalent atoms are Be at (0.000, 0.113, 0.250), Sn at (0.113, 0.291, 0.705), Cl at (0.099, 0.316, 0.968), Cl at (0.102, 0.244, 0.443) and Cl at (0.107, 0.006, 0.732).

The calculated volume is 32.29 A^3/atom. The density of states at the Fermi level comes out at 0.000 states/eV per cell. As for the raw formation energy: -1.110 eV/atom.



Below is an optimized crystal structure of BeSnCl3, with properties calculated at the PBE level.

The space group is Pm-3m (No. 221) and the conventional cell measures 4.638, 4.638 and 4.638 Å, with angles of 90.00, 90.00 and 90.00 degrees. The inequivalent atoms are Be at (0.000, 0.000, 0.000), Sn at (0.500, 0.500, 0.500) and Cl at (0.000, 0.000, 0.500).

The calculated volume is 19.96 A^3/atom. The density of states at the Fermi level comes out at 3.809 states/eV per cell. As for the raw formation energy: -0.551 eV/atom.



Below is an optimized crystal structure of BeSnCl4, with properties calculated at the PBE level.

The space group is Pmn2_1 (No. 31) and the conventional cell measures 8.972, 6.157 and 6.083 Å, with angles of 90.00, 90.00 and 90.00 degrees. The inequivalent atoms are Be at (0.000, 0.174, 0.000), Sn at (0.000, 0.573, 0.589), Cl at (0.000, 0.201, 0.330), Cl at (0.000, 0.852, 0.953) and Cl at (0.179, 0.327, 0.851).

The calculated volume is 28.00 A^3/atom. The density of states at the Fermi level comes out at 0.000 states/eV per cell. As for the raw formation energy: -1.190 eV/atom.



Below is an optimized crystal structure of BeSnCl2, with properties calculated at the PBE level.

The space group is R-3m (No. 166, hexagonal axes) and the conventional cell measures 3.2202, 3.2202 and 37.0740 Å, with angles of 90.00, 90.00 and 120.00 degrees. The inequivalent atoms are Be at (0.0000, 0.0000, 0.0000), Sn at (0.0000, 0.0000, 0.5000) and Cl at (0.0000, 0.0000, 0.3675).

The calculated volume is 27.75 A^3/atom. The density of states at the Fermi level comes out at 2.908 states/eV per cell. As for the raw formation energy: -0.723 eV/atom.



Below is an optimized crystal structure of BeSnCl2, with properties calculated at the PBE level.

The space group is Fm-3m (No. 225) and the conventional cell measures 7.135, 7.135 and 7.135 Å, with angles of 90.00, 90.00 and 90.00 degrees. The inequivalent atoms are Be at (0.000, 0.000, 0.000), Sn at (0.000, 0.000, 0.500) and Cl at (0.250, 0.250, 0.250).

The calculated volume is 22.70 A^3/atom. The density of states at the Fermi level comes out at 8.053 states/eV per cell. As for the raw formation energy: 0.197 eV/atom.



Below is an optimized crystal structure of BeSnCl2, with properties calculated at the PBE level.

The space group is I-42d (No. 122) and the conventional cell measures 6.526, 6.526 and 9.130 Å, with angles of 90.00, 90.00 and 90.00 degrees. The inequivalent atoms are Be at (0.000, 0.000, 0.000), Sn at (0.000, 0.000, 0.500) and Cl at (0.051, 0.250, 0.125).

The calculated volume is 24.30 A^3/atom. The density of states at the Fermi level comes out at 7.286 states/eV per cell. As for the raw formation energy: -0.392 eV/atom.



Below is an optimized crystal structure of BeSn3Cl, with properties calculated at the PBE level.

The space group is Pm-3m (No. 221) and the conventional cell measures 5.032, 5.032 and 5.032 Å, with angles of 90.00, 90.00 and 90.00 degrees. The inequivalent atoms are Be at (0.000, 0.000, 0.000), Sn at (0.000, 0.000, 0.500) and Cl at (0.500, 0.500, 0.500).

The calculated volume is 25.49 A^3/atom. The density of states at the Fermi level comes out at 4.450 states/eV per cell. As for the raw formation energy: 0.206 eV/atom.



Below is an optimized crystal structure of Be2SnCl, with properties calculated at the PBE level.

The space group is I-42d (No. 122) and the conventional cell measures 5.453, 5.453 and 10.668 Å, with angles of 90.00, 90.00 and 90.00 degrees. The inequivalent atoms are Be at (0.220, 0.250, 0.125), Sn at (0.000, 0.000, 0.500) and Cl at (0.000, 0.000, 0.000).

The calculated volume is 19.83 A^3/atom. The density of states at the Fermi level comes out at 8.338 states/eV per cell. As for the raw formation energy: 0.245 eV/atom.



Below is an optimized crystal structure of Be2SnCl, with properties calculated at the PBE level.

The space group is Fm-3m (No. 225) and the conventional cell measures 6.544, 6.544 and 6.544 Å, with angles of 90.00, 90.00 and 90.00 degrees. The inequivalent atoms are Be at (0.250, 0.250, 0.250), Sn at (0.000, 0.000, 0.000) and Cl at (0.000, 0.000, 0.500).

The calculated volume is 17.51 A^3/atom. The density of states at the Fermi level comes out at 13.794 states/eV per cell. As for the raw formation energy: 0.843 eV/atom.



Below is an optimized crystal structure of BeSnTe2Cl, with properties calculated at the PBE level.

The space group is P4/mmm (No. 123) and the conventional cell measures 6.403, 6.403 and 3.642 Å, with angles of 90.00, 90.00 and 90.00 degrees. The inequivalent atoms are Be at (0.000, 0.000, 0.000), Sn at (0.500, 0.500, 0.000), Te at (0.000, 0.500, 0.500) and Cl at (0.000, 0.000, 0.500).

The calculated volume is 29.86 A^3/atom. The density of states at the Fermi level comes out at 3.749 states/eV per cell. As for the raw formation energy: 0.516 eV/atom.



Below is an optimized crystal structure of Be2TlSnCl, with properties calculated at the PBE level.

The space group is P4/mmm (No. 123) and the conventional cell measures 4.550, 4.550 and 6.929 Å, with angles of 90.00, 90.00 and 90.00 degrees. The inequivalent atoms are Be at (0.000, 0.500, 0.000), Tl at (0.000, 0.000, 0.500), Sn at (0.000, 0.000, 0.000) and Cl at (0.500, 0.500, 0.500).

The calculated volume is 28.69 A^3/atom. The density of states at the Fermi level comes out at 1.110 states/eV per cell. As for the raw formation energy: 0.410 eV/atom.